No. 1
# ZnPtSO (PBE, relaxed)
# E above lowest polymorph: 258 meV/atom
# calculated density: 7092 kg/m³
# total DFT energy (no corrections): -70.59 eV/cell
data_ZnPtSO
_symmetry_space_group_name_H-M 'P 1'
_symmetry_Int_Tables_number 1
_cell_length_a 5.228
_cell_length_b 6.665
_cell_length_c 8.293
_cell_angle_alpha 90.00
_cell_angle_beta 90.00
_cell_angle_gamma 90.00
loop_
_symmetry_equiv_pos_as_xyz
'x,y,z'
loop_
_atom_site_label
_atom_site_fract_x
_atom_site_fract_y
_atom_site_fract_z
S1 0.046 0.889 0.156
Pt1 0.672 0.315 0.976
O1 0.514 0.091 0.104
S2 0.454 0.111 0.656
O2 0.986 0.909 0.604
Zn1 0.188 0.637 0.997
O3 0.486 0.591 0.396
Pt2 0.172 0.185 0.024
Pt3 0.828 0.685 0.476
Pt4 0.328 0.815 0.524
Zn2 0.812 0.137 0.503
Zn3 0.312 0.363 0.497
Zn4 0.688 0.863 0.003
S3 0.954 0.389 0.344
S4 0.546 0.611 0.844
O4 0.014 0.409 0.896



No. 2
# ZnPtSO (PBE, relaxed)
# E above lowest polymorph: 661 meV/atom
# calculated density: 8220 kg/m³
# total DFT energy (no corrections): -32.07 eV/cell
data_ZnPtSO
_symmetry_space_group_name_H-M 'P 1'
_symmetry_Int_Tables_number 1
_cell_length_a 3.882
_cell_length_b 3.882
_cell_length_c 8.271
_cell_angle_alpha 90.00
_cell_angle_beta 90.00
_cell_angle_gamma 90.00
loop_
_symmetry_equiv_pos_as_xyz
'x,y,z'
loop_
_atom_site_label
_atom_site_fract_x
_atom_site_fract_y
_atom_site_fract_z
O1 0.750 0.750 0.928
O2 0.250 0.250 0.072
Pt1 0.250 0.250 0.315
Zn1 0.250 0.250 0.846
S1 0.250 0.750 0.500
Zn2 0.750 0.750 0.154
Pt2 0.750 0.750 0.685
S2 0.750 0.250 0.500



No. 3
# ZnPtSO (PBE, relaxed)
# E above lowest polymorph: 233 meV/atom
# calculated density: 8543 kg/m³
# total DFT energy (no corrections): -35.49 eV/cell
data_ZnPtSO
_symmetry_space_group_name_H-M 'P 1'
_symmetry_Int_Tables_number 1
_cell_length_a 3.639
_cell_length_b 3.639
_cell_length_c 9.061
_cell_angle_alpha 90.00
_cell_angle_beta 90.00
_cell_angle_gamma 90.00
loop_
_symmetry_equiv_pos_as_xyz
'x,y,z'
loop_
_atom_site_label
_atom_site_fract_x
_atom_site_fract_y
_atom_site_fract_z
O1 0.750 0.250 0.500
O2 0.250 0.750 0.500
Zn1 0.750 0.750 0.584
Pt1 0.250 0.250 0.871
S1 0.250 0.250 0.141
S2 0.750 0.750 0.859
Zn2 0.250 0.250 0.416
Pt2 0.750 0.750 0.129